No. 1
Material: Ba2SnRhAu
Method: DFT, GGA-PBE
State: optimized geometry

Calculated values
D(E_F): 3.64 states/eV per cell
DFT formation energy: -0.413 eV/atom
Crystal system: tetragonal
Energy: -4.11 eV per atom

Lattice parameters (Å, degrees): 6.0407 6.0407 5.0273 90.00 90.00 90.00
With the nearest neighbours (Å) after each atom.
Space group P4/mmm (No. 123)
Unique sites:
1 Ba 0.0000 0.5000 0.0000 (multiplicity 2)  2 Rh 3.02
2 Sn 0.0000 0.0000 0.5000 (multiplicity 1)  2 Rh 2.51
3 Rh 0.0000 0.0000 0.0000 (multiplicity 1)  2 Sn 2.51
4 Au 0.5000 0.5000 0.5000 (multiplicity 1)  8 Ba 3.93, 4 Sn 4.27



No. 2
Material: Ba2Sn4RhAu3
Method: DFT, GGA-PBE
State: optimized geometry

Calculated values
D(E_F): 4.31 states/eV per cell
DFT formation energy: -0.577 eV/atom
Crystal system: tetragonal
Energy: -4.28 eV per atom

Lattice parameters (Å, degrees): 4.8433 4.8433 11.2302 90.00 90.00 90.00
With the nearest neighbours (Å) after each atom.
Space group P-4m2 (No. 115)
Unique sites:
1 Ba 0.0000 0.5000 0.2415 (multiplicity 2)  2 Rh 3.64, 6 Au 3.64-3.68, 9 Sn 3.72-3.98
2 Sn 0.0000 0.0000 0.5000 (multiplicity 1)  4 Au 2.87
3 Sn 0.0000 0.5000 0.8871 (multiplicity 2)  2 Rh 2.73, 3 Au 2.73-2.80
4 Sn 0.5000 0.5000 0.5000 (multiplicity 1)  4 Au 2.87
5 Rh 0.5000 0.5000 0.0000 (multiplicity 1)  4 Sn 2.73
6 Au 0.0000 0.0000 0.0000 (multiplicity 1)  4 Sn 2.73
7 Au 0.0000 0.5000 0.6379 (multiplicity 2)  5 Sn 2.80-2.87



No. 3
Material: BaSrRhAu
Method: DFT, GGA-PBE
State: optimized geometry

Calculated values
D(E_F): 11.57 states/eV per cell
DFT formation energy: -0.345 eV/atom
Crystal system: cubic
Energy: -3.90 eV per atom

Lattice parameters (Å, degrees): 7.6659 7.6659 7.6659 90.00 90.00 90.00
With the nearest neighbours (Å) after each atom.
Space group F-43m (No. 216)
Unique sites:
1 Ba 0.0000 0.0000 0.0000 (multiplicity 4)  4 Rh 3.32, 4 Au 3.32
2 Sr 0.0000 0.0000 0.5000 (multiplicity 4)  4 Rh 3.32, 4 Au 3.32
3 Rh 0.2500 0.2500 0.2500 (multiplicity 4)  4 Ba 3.32, 4 Sr 3.32
4 Au 0.2500 0.2500 0.7500 (multiplicity 4)  4 Ba 3.32, 4 Sr 3.32



No. 4
Material: Ba2SrRhAu
Method: DFT, GGA-PBE
State: optimized geometry

Calculated values
D(E_F): 3.82 states/eV per cell
DFT formation energy: -0.204 eV/atom
Crystal system: tetragonal
Energy: -3.44 eV per atom

Lattice parameters (Å, degrees): 5.9096 5.9096 5.7465 90.00 90.00 90.00
With the nearest neighbours (Å) after each atom.
Space group P4/mmm (No. 123)
Unique sites:
1 Ba 0.0000 0.5000 0.0000 (multiplicity 2)  2 Rh 2.95
2 Sr 0.0000 0.0000 0.5000 (multiplicity 1)  2 Rh 2.87
3 Rh 0.0000 0.0000 0.0000 (multiplicity 1)  2 Sr 2.87, 4 Ba 2.95
4 Au 0.5000 0.5000 0.5000 (multiplicity 1)  8 Ba 4.12, 4 Sr 4.18



No. 5
Material: Ba6Sr2RhAu
Method: DFT, GGA-PBE
State: optimized geometry

Calculated values
D(E_F): 17.34 states/eV per cell
DFT formation energy: -0.231 eV/atom
Crystal system: monoclinic
Energy: -2.78 eV per atom

Lattice parameters (Å, degrees): 12.8253 12.8308 9.0668 90.00 134.92 90.00
With the nearest neighbours (Å) after each atom.
Space group Cm (No. 8)
Unique sites:
1 Ba 0.0000 0.0000 0.0000 (multiplicity 2)  1 Rh 3.10, 1 Au 3.31
2 Ba 0.0000 0.0000 0.4832 (multiplicity 2)  1 Rh 3.10, 1 Au 3.32
3 Ba 0.0165 0.5000 0.0001 (multiplicity 2)  1 Rh 3.10, 1 Au 3.31
4 Ba 0.0169 0.5000 0.5169 (multiplicity 2)  1 Rh 3.10, 1 Au 3.32
5 Ba 0.2585 0.2584 0.0001 (multiplicity 4)  1 Rh 3.10, 1 Au 3.32
6 Sr 0.2587 0.2500 0.5000 (multiplicity 4)  12 Ba 4.53-4.54
7 Rh 0.2582 0.5000 0.0000 (multiplicity 2)  6 Ba 3.10
8 Au 0.2582 0.0000 0.0000 (multiplicity 2)  6 Ba 3.31-3.32



No. 6
Material: Ba6TlRhAu
Method: DFT, GGA-PBE
State: optimized geometry

Calculated values
D(E_F): 5.75 states/eV per cell
DFT formation energy: -0.314 eV/atom
Crystal system: trigonal
Energy: -3.04 eV per atom

Lattice parameters (Å, degrees): 8.2251 8.2251 7.6955 90.00 90.00 120.00
With the nearest neighbours (Å) after each atom.
Space group P312 (No. 149)
Unique sites:
1 Ba 0.0314 0.3513 0.2328 (multiplicity 6)  1 Rh 3.11, 1 Au 3.30
2 Tl 0.6667 0.3333 0.5000 (multiplicity 1)  6 Ba 3.58
3 Rh 0.3333 0.6667 0.0000 (multiplicity 1)  6 Ba 3.11
4 Au 0.0000 0.0000 0.0000 (multiplicity 1)  6 Ba 3.30



Question: The lowest D(E_F) belongs to which entry?
Answer: Ba2SnRhAu



Question: Which of these has the highest energy?
Answer: Ba6Sr2RhAu



Question: Among the records above, which one has the highest D(E_F)?
Answer: Ba6Sr2RhAu



Copy entry 3 word for word.
Material: BaSrRhAu
Method: DFT, GGA-PBE
State: optimized geometry

Calculated values
D(E_F): 11.57 states/eV per cell
DFT formation energy: -0.345 eV/atom
Crystal system: cubic
Energy: -3.90 eV per atom

Lattice parameters (Å, degrees): 7.6659 7.6659 7.6659 90.00 90.00 90.00
With the nearest neighbours (Å) after each atom.
Space group F-43m (No. 216)
Unique sites:
1 Ba 0.0000 0.0000 0.0000 (multiplicity 4)  4 Rh 3.32, 4 Au 3.32
2 Sr 0.0000 0.0000 0.5000 (multiplicity 4)  4 Rh 3.32, 4 Au 3.32
3 Rh 0.2500 0.2500 0.2500 (multiplicity 4)  4 Ba 3.32, 4 Sr 3.32
4 Au 0.2500 0.2500 0.7500 (multiplicity 4)  4 Ba 3.32, 4 Sr 3.32